Record 1
Computed, not measured: crystalline TmMgGaO4 at its relaxed geometry at the GGA-PBE level of DFT.

Computed properties:
The total energy is -6.799 eV per atom. The formation energy (no corrections) comes out at -2.6670 eV/atom. Its density of states at the Fermi level is 0.00 states/eV/cell. As for the symmetry: Imma.

```
data_TmMgGaO4
_cell_length_a 6.199
_cell_length_b 6.199
_cell_length_c 6.199
_cell_angle_alpha 120.61
_cell_angle_beta 118.42
_cell_angle_gamma 90.85
_space_group_name_H-M_alt 'P 1'
_space_group_IT_number 1
loop_
_space_group_symop_operation_xyz
'x,y,z'
loop_
_atom_site_label
_atom_site_type_symbol
_atom_site_fract_x
_atom_site_fract_y
_atom_site_fract_z
Tm1 Tm 0.000 0.000 0.000
Tm2 Tm 0.500 0.000 0.500
Mg1 Mg 0.500 0.000 0.000
Mg2 Mg 0.500 0.500 0.500
Ga1 Ga 0.125 0.375 0.750
Ga2 Ga 0.875 0.625 0.250
O1 O 0.251 0.746 0.505
O2 O 0.256 0.256 0.500
O3 O 0.256 0.757 0.000
O4 O 0.260 0.254 0.005
O5 O 0.740 0.746 0.995
O6 O 0.744 0.243 0.000
O7 O 0.744 0.744 0.500
O8 O 0.749 0.254 0.495
```

Record 2
Computed, not measured: crystalline CaLa2Tc at its relaxed geometry at the GGA-PBE level of DFT.

Computed properties:
The total energy is -5.367 eV per atom. Its density of states at the Fermi level is 4.72 states/eV/cell. As for the symmetry: R-3m.

```
data_CaLa2Tc
_cell_length_a 9.939
_cell_length_b 9.939
_cell_length_c 9.939
_cell_angle_alpha 23.73
_cell_angle_beta 23.73
_cell_angle_gamma 23.73
_space_group_name_H-M_alt 'P 1'
_space_group_IT_number 1
loop_
_space_group_symop_operation_xyz
'x,y,z'
loop_
_atom_site_label
_atom_site_type_symbol
_atom_site_fract_x
_atom_site_fract_y
_atom_site_fract_z
Ca1 Ca 0.000 0.000 0.000
La1 La 0.221 0.221 0.221
La2 La 0.779 0.779 0.779
Tc1 Tc 0.500 0.500 0.500
```